# 1
Material: SrAgRu
Method: DFT, PBE
State: relaxed

Summary:
**Size of the total moment**: 0.0000 μB/atom
**Relative energy among the computed polymorphs**: 0 meV per atom
**DFT formation energy**: 0.494 eV/atom
**N(E_F)**: 6.1 states/eV per cell

Unit cell a=3.6050 b=3.6050 c=10.5980 alpha=90.00 beta=90.00 gamma=90.00
Space group I4mm (No. 107)
Inequivalent atoms, fractional coordinates:
Sr: 0.0000 0.0000 0.0000 (multiplicity 2)
Ag: 0.0000 0.0000 0.2917 (multiplicity 2)
Ru: 0.0000 0.0000 0.7028 (multiplicity 2)

***

# 2
Material: SrAgRu
Method: DFT, PBE
State: relaxed

Summary:
**Size of the total moment**: 0.3658 μB/atom
**Relative energy among the computed polymorphs**: 764 meV per atom
**DFT formation energy**: 1.259 eV/atom
**N(E_F)**: 31.6 states/eV per cell

Unit cell a=6.8545 b=6.8545 c=6.8545 alpha=90.00 beta=90.00 gamma=90.00
Space group F-43m (No. 216)
Inequivalent atoms, fractional coordinates:
Sr: 0.0000 0.0000 0.0000 (multiplicity 4)
Ag: 0.2500 0.2500 0.2500 (multiplicity 4)
Ru: 0.2500 0.2500 0.7500 (multiplicity 4)

***

# 3
Material: SrAg3Ru
Method: DFT, PBE
State: relaxed

Summary:
**Size of the total moment**: 0.2958 μB/atom
**Relative energy among the computed polymorphs**: 0 meV per atom
**DFT formation energy**: 0.539 eV/atom
**N(E_F)**: 5.8 states/eV per cell

Unit cell a=5.1217 b=5.1217 c=5.1217 alpha=90.00 beta=90.00 gamma=90.00
Space group Pm-3m (No. 221)
Inequivalent atoms, fractional coordinates:
Sr: 0.0000 0.0000 0.0000 (multiplicity 1)
Ag: 0.0000 0.5000 0.5000 (multiplicity 3)
Ru: 0.5000 0.5000 0.5000 (multiplicity 1)

***

# 4
Material: Sr2AgRu
Method: DFT, PBE
State: relaxed

Summary:
**Size of the total moment**: 0.2027 μB/atom
**DFT formation energy**: 0.284 eV/atom
**N(E_F)**: 9.0 states/eV per cell

Unit cell a=7.7379 b=7.7570 c=3.5545 alpha=90.00 beta=90.00 gamma=90.00
Space group Cmmm (No. 65)
Inequivalent atoms, fractional coordinates:
Sr: 0.2500 0.2500 0.0000 (multiplicity 4)
Ag: 0.0000 0.0000 0.5000 (multiplicity 2)
Ru: 0.0000 0.5000 0.5000 (multiplicity 2)

***

# 5
Material: Sr2AgRu
Method: DFT, PBE
State: relaxed

Summary:
**Size of the total moment**: 0.0861 μB/atom
**DFT formation energy**: 0.422 eV/atom
**N(E_F)**: 3.0 states/eV per cell

Unit cell a=3.8528 b=3.8528 c=27.0190 alpha=90.00 beta=90.00 gamma=120.00
Space group R-3m (No. 166, hexagonal axes)
Inequivalent atoms, fractional coordinates:
Sr: 0.0000 0.0000 0.2417 (multiplicity 6)
Ag: 0.0000 0.0000 0.0000 (multiplicity 3)
Ru: 0.0000 0.0000 0.5000 (multiplicity 3)

***

# 6
Material: SrAg3Ru
Method: DFT, PBE
State: relaxed

Summary:
**Size of the total moment**: 0.5366 μB/atom
**Relative energy among the computed polymorphs**: 1239 meV per atom
**DFT formation energy**: 1.778 eV/atom
**N(E_F)**: 9.0 states/eV per cell

Unit cell a=5.4663 b=5.4663 c=5.4663 alpha=90.00 beta=90.00 gamma=90.00
Space group Pm-3m (No. 221)
Inequivalent atoms, fractional coordinates:
Sr: 0.0000 0.0000 0.0000 (multiplicity 1)
Ag: 0.0000 0.0000 0.5000 (multiplicity 3)
Ru: 0.5000 0.5000 0.5000 (multiplicity 1)

***

# 7
Material: SrAg2Ru
Method: DFT, PBE
State: relaxed

Summary:
**Size of the total moment**: 0.3279 μB/atom
**Relative energy among the computed polymorphs**: 45 meV per atom
**DFT formation energy**: 0.445 eV/atom
**N(E_F)**: 9.9 states/eV per cell

Unit cell a=4.3979 b=4.3979 c=8.7382 alpha=90.00 beta=90.00 gamma=90.00
Space group I4/mmm (No. 139)
Inequivalent atoms, fractional coordinates:
Sr: 0.0000 0.0000 0.0000 (multiplicity 2)
Ag: 0.0000 0.5000 0.2500 (multiplicity 4)
Ru: 0.0000 0.0000 0.5000 (multiplicity 2)

***

# 8
Material: Sr2AgRu
Method: DFT, PBE
State: relaxed

Summary:
**Size of the total moment**: 0.2122 μB/atom
**DFT formation energy**: 0.201 eV/atom
**N(E_F)**: 7.7 states/eV per cell

Unit cell a=4.5904 b=4.4804 c=11.3347 alpha=90.00 beta=90.00 gamma=90.00
Space group Amm2 (No. 38)
Inequivalent atoms, fractional coordinates:
Sr: 0.0000 0.0000 0.0000 (multiplicity 2)
Sr: 0.5000 0.0000 0.2842 (multiplicity 2)
Ag: 0.5000 0.0000 0.5800 (multiplicity 2)
Ru: 0.0000 0.0000 0.7033 (multiplicity 2)